Material: InTe2PtAuSe
Method: DFT, GGA-PBE
State: optimized geometry

* crystal system: orthorhombic
* calculated volume: 24.7 Å³/atom
* uncorrected energy: -3.889 eV/atom
* symmetry: Cmcm

Geometry as POSCAR:
```
InTe2PtAuSe
1.0
2.002 -6.492 0.000
2.002 6.492 0.000
0.000 0.000 11.392
Au Pt Te Se In
2 2 4 2 2
Cartesian
2.002 -2.146 8.544 Au
2.002 2.146 2.848 Au
0.000 0.000 0.000 Pt
0.000 0.000 5.696 Pt
2.002 -1.750 11.213 Te
2.002 1.750 0.179 Te
2.002 1.750 5.517 Te
2.002 -1.750 5.875 Te
2.002 -6.219 8.544 Se
2.002 6.219 2.848 Se
2.002 2.283 8.544 In
2.002 -2.283 2.848 In
```

Material: Sm3In3Pt2Au
Method: DFT, GGA-PBE
State: optimized geometry

* crystal system: hexagonal
* calculated volume: 23.2 Å³/atom
* uncorrected energy: -5.090 eV/atom
* symmetry: P-62m

Geometry as POSCAR:
```
Sm3In3Pt2Au
1.0
7.758 0.000 0.000
-3.879 6.719 0.000
0.000 0.000 4.010
In Pt Au Sm
3 2 1 3
Cartesian
2.035 0.000 2.005 In
2.862 4.957 2.005 In
-1.017 1.762 2.005 In
0.000 4.479 2.005 Pt
3.879 2.240 2.005 Pt
0.000 0.000 0.000 Au
1.597 2.767 0.000 Sm
-2.282 3.952 0.000 Sm
4.563 0.000 0.000 Sm
```

Material: Sm3In3PtAu2
Method: DFT, GGA-PBE
State: optimized geometry

* crystal system: hexagonal
* calculated volume: 23.6 Å³/atom
* uncorrected energy: -4.709 eV/atom
* symmetry: P-62m

Geometry as POSCAR:
```
Sm3In3PtAu2
1.0
-6.589 4.158 -0.096
-0.042 -7.304 2.712
0.814 1.376 3.718
In Sm Pt Au
3 3 1 2
Cartesian
-1.658 1.047 -0.024 In
-0.011 -1.839 0.683 In
-4.962 -2.354 1.957 In
-3.518 3.165 1.801 Sm
0.382 -3.663 3.474 Sm
-2.274 -0.584 2.917 Sm
0.407 0.688 1.859 Pt
-2.224 -3.484 1.776 Au
-4.407 0.337 0.840 Au
```

Material: SrIn2PtAu
Method: DFT, GGA-PBE
State: optimized geometry

* crystal system: tetragonal
* calculated volume: 24.6 Å³/atom
* uncorrected energy: -3.913 eV/atom
* symmetry: P4/nmm

Geometry as POSCAR:
```
SrIn2PtAu
1.0
4.759 0.000 0.000
0.000 4.759 0.000
0.000 0.000 10.852
Pt In Sr Au
2 4 2 2
Cartesian
2.380 0.000 4.064 Pt
0.000 2.380 6.788 Pt
0.000 2.380 9.415 In
0.000 0.000 5.426 In
2.380 0.000 1.437 In
2.380 2.380 5.426 In
2.380 0.000 8.157 Sr
0.000 2.380 2.694 Sr
0.000 0.000 0.000 Au
2.380 2.380 0.000 Au
```

Material: Tb3In3Pt2Au
Method: DFT, GGA-PBE
State: optimized geometry

* crystal system: hexagonal
* calculated volume: 22.4 Å³/atom
* uncorrected energy: -5.078 eV/atom
* symmetry: P-62m

Geometry as POSCAR:
```
Tb3In3Pt2Au
1.0
7.694 0.000 0.000
-3.847 6.663 0.000
0.000 0.000 3.928
Pt In Tb Au
2 3 3 1
Cartesian
0.000 4.442 1.964 Pt
3.847 2.221 1.964 Pt
2.035 0.000 1.964 In
-1.017 1.762 1.964 In
2.829 4.901 1.964 In
1.578 2.733 0.000 Tb
-2.269 3.930 0.000 Tb
4.538 0.000 0.000 Tb
0.000 0.000 0.000 Au
```

Material: Tb3In3PtAu2
Method: DFT, GGA-PBE
State: optimized geometry

* crystal system: hexagonal
* calculated volume: 22.7 Å³/atom
* uncorrected energy: -4.692 eV/atom
* symmetry: P-62m

Geometry as POSCAR:
```
Tb3In3PtAu2
1.0
-1.781 7.377 1.395
-3.223 -3.685 -5.963
-2.984 -1.161 2.330
Tb In Au Pt
3 3 2 1
Cartesian
-1.064 4.406 0.833 Tb
-2.016 1.487 -1.840 Tb
-1.925 -2.201 -3.561 Tb
-1.946 1.302 1.521 In
-5.219 2.169 -2.237 In
-2.315 -1.521 -0.357 In
-3.753 3.109 0.108 Au
-4.234 -0.579 -2.345 Au
0.000 0.000 0.000 Pt
```

Material: Tb2TmIn3Pt2Au
Method: DFT, GGA-PBE
State: optimized geometry

* crystal system: orthorhombic
* calculated volume: 22.2 Å³/atom
* uncorrected energy: -5.059 eV/atom
* symmetry: Amm2

Geometry as POSCAR:
```
Tb2TmIn3Pt2Au
1.0
3.804 0.000 0.000
0.000 6.726 3.897
0.000 -6.726 3.897
In Tm Au Tb Pt
3 1 1 2 2
Cartesian
1.902 0.000 5.693 In
1.902 -1.804 1.053 In
1.902 1.804 1.053 In
0.000 0.000 3.181 Tm
0.000 0.000 0.008 Au
0.000 -2.742 6.204 Tb
0.000 2.742 6.204 Tb
1.902 -2.216 3.889 Pt
1.902 2.216 3.889 Pt
```

Material: Tb2YIn3PtAu2
Method: DFT, GGA-PBE
State: optimized geometry

* crystal system: orthorhombic
* calculated volume: 22.8 Å³/atom
* uncorrected energy: -4.900 eV/atom
* symmetry: Amm2

Geometry as POSCAR:
```
Tb2YIn3PtAu2
1.0
3.956 0.000 0.000
0.000 6.700 3.868
0.000 -6.700 3.868
Tb Y In Au Pt
2 1 3 2 1
Cartesian
0.000 4.013 2.317 Tb
0.000 -4.013 2.317 Tb
0.000 0.000 3.102 Y
1.978 0.000 5.752 In
1.978 -1.719 0.992 In
1.978 1.719 0.992 In
1.978 2.233 3.868 Au
1.978 -2.233 3.868 Au
0.000 0.000 0.000 Pt
```